Record 1
Here is an optimized crystal structure of YNiAsH from Alexandria. Energies are from GGA-PBE.

Cell: 3.9618 3.9618 7.1780 Å, 90.00 90.00 90.00°
With the nearest neighbours (Å) after each atom.
Element x y z (fractional)
Y 0.2500 0.2500 0.1640  4 H 2.30
Y 0.7500 0.7500 0.8360  4 H 2.30
Ni 0.2500 0.7500 0.5000  4 As 2.38
Ni 0.7500 0.2500 0.5000  4 As 2.38
As 0.2500 0.2500 0.6848  4 Ni 2.38
As 0.7500 0.7500 0.3152  4 Ni 2.38
H 0.2500 0.7500 0.0000  4 Y 2.30
H 0.7500 0.2500 0.0000  4 Y 2.30

Properties
The magnetic moment comes out at 0.000 μB per cell. The value obtained for the density of states at the Fermi level is 6.59 states/eV per cell. The final energy is -5.901 eV per atom.

=====

Record 2
Here is an optimized crystal structure of CaPm2Hg from Alexandria. Energies are from GGA-PBE.

Cell: 7.2289 10.3651 6.8768 Å, 90.00 90.00 90.00°
With the nearest neighbours (Å) after each atom.
Element x y z (fractional)
Ca 0.0077 0.2500 0.0999  2 Hg 3.11-3.17
Ca 0.4923 0.7500 0.5999  2 Hg 3.11-3.17
Ca 0.5077 0.2500 0.4001  2 Hg 3.11-3.17
Ca 0.9923 0.7500 0.9001  2 Hg 3.11-3.17
Pm 0.2007 0.0434 0.6945  2 Hg 3.11-3.24
Pm 0.2007 0.4566 0.6945  2 Hg 3.11-3.24
Pm 0.2993 0.5434 0.1945  2 Hg 3.11-3.24
Pm 0.2993 0.9566 0.1945  2 Hg 3.11-3.24
Pm 0.7007 0.0434 0.8055  2 Hg 3.11-3.24
Pm 0.7007 0.4566 0.8055  2 Hg 3.11-3.24
Pm 0.7993 0.5434 0.3055  2 Hg 3.11-3.24
Pm 0.7993 0.9566 0.3055  2 Hg 3.11-3.24
Hg 0.0751 0.7500 0.4568  4 Pm 3.11-3.24, 2 Ca 3.11-3.17
Hg 0.4249 0.2500 0.9568  4 Pm 3.11-3.24, 2 Ca 3.11-3.17
Hg 0.5751 0.7500 0.0432  4 Pm 3.11-3.24, 2 Ca 3.11-3.17
Hg 0.9249 0.2500 0.5432  4 Pm 3.11-3.24, 2 Ca 3.11-3.17

Properties
For the energy relative to the elements, the calculation gives -205 meV per atom. The magnetic moment comes out at 0.000 μB per cell. The energy above the most stable polymorph in this dataset comes out at 0.000 eV/atom. The value obtained for the density of states at the Fermi level is 11.43 states/eV per cell.

=====

Record 3
Here is an optimized crystal structure of Bi4Pt2Rh from Alexandria. Energies are from GGA-PBE.

Cell: 7.0055 7.0055 7.1797 Å, 119.34 119.34 35.03°
With the nearest neighbours (Å) after each atom.
Element x y z (fractional)
Bi 0.1164 0.1164 0.4591  3 Pt 2.79-2.80, 1 Rh 2.83
Bi 0.3737 0.3737 0.0366  2 Rh 2.80, 3 Pt 2.84-2.88
Bi 0.6263 0.6263 0.9634  2 Rh 2.80, 3 Pt 2.84-2.88
Bi 0.8836 0.8836 0.5409  3 Pt 2.79-2.80, 1 Rh 2.83
Pt 0.2540 0.2540 0.2687  6 Bi 2.79-2.88, 1 Rh 2.92
Pt 0.7460 0.7460 0.7313  6 Bi 2.79-2.88, 1 Rh 2.92
Rh 0.0000 0.0000 0.0000  6 Bi 2.80-2.83, 2 Pt 2.92

Properties
For the energy relative to the elements, the calculation gives -253 meV per atom. The magnetic moment comes out at 0.000 μB per cell. The energy above the most stable polymorph in this dataset comes out at 0.000 eV/atom. The value obtained for the density of states at the Fermi level is 2.38 states/eV per cell.